DFT (meta-GGA SCAN) results for a PBEsol-optimized structure of Sc2BeAu.

Cell and atoms, written as POSCAR:
```
Sc2BeAu
1.0
3.2951 0.0000 0.0790
0.0000 4.3330 0.0000
-0.8180 0.0000 4.9439
Sc Be Au
2 1 1
Direct
0.9544 0.0000 0.9121
0.7943 0.5000 0.3344
0.4103 0.5000 0.7804
0.3410 0.0000 0.4731
```

Calculated values
DOS at the Fermi energy ... 1.5 states/eV/cell
E_form ... -578 meV/atom